# 1
Compound: BaYVB2
Source: the Alexandria database
Functional: GGA-PBE
Structure: relaxed

Summary:
Symmetry: P4/mmm, No. 123
Total magnetic moment: 0.0 μB per cell
Formation enthalpy at 0 K: 1.1571 eV per atom
V: 96 Å³/cell

Cell lengths 4.375, 4.375, 5.026 Å; angles 90.00, 90.00, 90.00 degrees
Fractional positions:
Ba 0.000 0.000 0.000
Y 0.500 0.500 0.000
V 0.000 0.000 0.500
B 0.000 0.500 0.500
B 0.500 0.000 0.500

---

# 2
Compound: Ba2B2W
Source: the Alexandria database
Functional: GGA-PBE
Structure: relaxed

Summary:
Symmetry: I4/mmm, No. 139
Relative energy among the computed polymorphs: 2.05 kJ/mol of atoms
Total magnetic moment: 0.0 μB per cell
Formation enthalpy at 0 K: 1.0759 eV per atom
V: 120 Å³/cell

Cell lengths 5.386, 5.386, 5.386 Å; angles 110.25, 110.25, 107.93 degrees
Fractional positions:
Ba 0.250 0.750 0.500
Ba 0.750 0.250 0.500
B 0.133 0.133 0.000
B 0.867 0.867 0.000
W 0.500 0.500 0.000

---

# 3
Compound: BaBW3
Source: the Alexandria database
Functional: GGA-PBE
Structure: relaxed

Summary:
Symmetry: Pm-3m, No. 221
Relative energy among the computed polymorphs: 0.00 kJ/mol of atoms
Total magnetic moment: 0.0 μB per cell
Formation enthalpy at 0 K: 1.2704 eV per atom
V: 91 Å³/cell

Cell lengths 4.493, 4.493, 4.493 Å; angles 90.00, 90.00, 90.00 degrees
Fractional positions:
Ba 0.000 0.000 0.000
B 0.500 0.500 0.500
W 0.000 0.500 0.500
W 0.500 0.000 0.500
W 0.500 0.500 0.000

---

# 4
Compound: Ba2B2W
Source: the Alexandria database
Functional: GGA-PBE
Structure: relaxed

Summary:
Symmetry: P4/mbm, No. 127
Relative energy among the computed polymorphs: 0.00 kJ/mol of atoms
Total magnetic moment: 0.0 μB per cell
Formation enthalpy at 0 K: 1.0547 eV per atom
V: 226 Å³/cell

Cell lengths 6.450, 6.450, 5.426 Å; angles 90.00, 90.00, 90.00 degrees
Fractional positions:
Ba 0.174 0.326 0.000
Ba 0.326 0.826 0.000
Ba 0.674 0.174 0.000
Ba 0.826 0.674 0.000
B 0.214 0.714 0.500
B 0.286 0.214 0.500
B 0.714 0.786 0.500
B 0.786 0.286 0.500
W 0.000 0.000 0.500
W 0.500 0.500 0.500

---

# 5
Compound: BaB2W
Source: the Alexandria database
Functional: GGA-PBE
Structure: relaxed

Summary:
Symmetry: Fm-3m, No. 225
Relative energy among the computed polymorphs: 123.76 kJ/mol of atoms
Total magnetic moment: 0.0 μB per cell
Formation enthalpy at 0 K: 1.8700 eV per atom
V: 65 Å³/cell

Cell lengths 4.521, 4.521, 4.521 Å; angles 60.00, 60.00, 60.00 degrees
Fractional positions:
Ba 0.000 0.000 0.000
B 0.250 0.250 0.250
B 0.750 0.750 0.750
W 0.500 0.500 0.500

---

# 6
Compound: BaB2W
Source: the Alexandria database
Functional: GGA-PBE
Structure: relaxed

Summary:
Symmetry: I-42d, No. 122
Relative energy among the computed polymorphs: 0.00 kJ/mol of atoms
Total magnetic moment: 0.0 μB per cell
Formation enthalpy at 0 K: 0.5873 eV per atom
V: 179 Å³/cell

Cell lengths 6.241, 6.241, 6.241 Å; angles 116.77, 116.77, 95.69 degrees
Fractional positions:
Ba 0.000 0.000 0.000
Ba 0.750 0.250 0.500
B 0.269 0.125 0.644
B 0.375 0.731 0.856
B 0.481 0.625 0.356
B 0.875 0.519 0.144
W 0.250 0.750 0.500
W 0.500 0.500 0.000

---

# 7
Compound: BaBW3
Source: the Alexandria database
Functional: GGA-PBE
Structure: relaxed

Summary:
Symmetry: Pm-3m, No. 221
Relative energy among the computed polymorphs: 335.95 kJ/mol of atoms
Total magnetic moment: 0.0 μB per cell
Formation enthalpy at 0 K: 4.7523 eV per atom
V: 126 Å³/cell

Cell lengths 5.016, 5.016, 5.016 Å; angles 90.00, 90.00, 90.00 degrees
Fractional positions:
Ba 0.000 0.000 0.000
B 0.500 0.500 0.500
W 0.000 0.000 0.500
W 0.000 0.500 0.000
W 0.500 0.000 0.000

---

# 8
Compound: Ba2YBW
Source: the Alexandria database
Functional: GGA-PBE
Structure: relaxed

Summary:
Symmetry: P4/mmm, No. 123
Total magnetic moment: 2.8 μB per cell
Formation enthalpy at 0 K: 2.1650 eV per atom
V: 210 Å³/cell

Cell lengths 6.506, 6.506, 4.966 Å; angles 90.00, 90.00, 90.00 degrees
Fractional positions:
Ba 0.000 0.500 0.000
Ba 0.500 0.000 0.000
Y 0.000 0.000 0.000
B 0.500 0.500 0.500
W 0.000 0.000 0.500

---

# 9
Compound: BaYB2
Source: the Alexandria database
Functional: GGA-PBE
Structure: relaxed

Summary:
Symmetry: I-42d, No. 122
Relative energy among the computed polymorphs: 15.26 kJ/mol of atoms
Total magnetic moment: 1.2 μB per cell
Formation enthalpy at 0 K: 1.0610 eV per atom
V: 225 Å³/cell

Cell lengths 8.655, 8.655, 8.655 Å; angles 143.79, 143.79, 52.14 degrees
Fractional positions:
Ba 0.000 0.000 0.000
Ba 0.750 0.250 0.500
Y 0.250 0.750 0.500
Y 0.500 0.500 0.000
B 0.240 0.625 0.115
B 0.375 0.490 0.615
B 0.510 0.125 0.885
B 0.875 0.760 0.385

---

# 10
Compound: BaYB2
Source: the Alexandria database
Functional: GGA-PBE
Structure: relaxed

Summary:
Symmetry: Fm-3m, No. 225
Relative energy among the computed polymorphs: 0.00 kJ/mol of atoms
Total magnetic moment: 0.0 μB per cell
Formation enthalpy at 0 K: 0.9028 eV per atom
V: 84 Å³/cell

Cell lengths 4.914, 4.914, 4.914 Å; angles 60.00, 60.00, 60.00 degrees
Fractional positions:
Ba 0.000 0.000 0.000
Y 0.500 0.500 0.500
B 0.250 0.250 0.250
B 0.750 0.750 0.750

---

# 11
Compound: BaYB3
Source: the Alexandria database
Functional: GGA-PBE
Structure: relaxed

Summary:
Symmetry: Pm-3m, No. 221
Relative energy among the computed polymorphs: 75.90 kJ/mol of atoms
Total magnetic moment: 0.0 μB per cell
Formation enthalpy at 0 K: 2.1574 eV per atom
V: 106 Å³/cell

Cell lengths 4.732, 4.732, 4.732 Å; angles 90.00, 90.00, 90.00 degrees
Fractional positions:
Ba 0.000 0.000 0.000
Y 0.500 0.500 0.500
B 0.000 0.000 0.500
B 0.000 0.500 0.000
B 0.500 0.000 0.000

---

# 12
Compound: BaY2B
Source: the Alexandria database
Functional: GGA-PBE
Structure: relaxed

Summary:
Symmetry: I-42d, No. 122
Total magnetic moment: 0.0 μB per cell
Formation enthalpy at 0 K: 0.4379 eV per atom
V: 329 Å³/cell

Cell lengths 7.741, 7.741, 7.741 Å; angles 119.74, 119.74, 90.44 degrees
Fractional positions:
Ba 0.000 0.000 0.000
Ba 0.750 0.250 0.500
Y 0.353 0.625 0.228
Y 0.375 0.603 0.728
Y 0.397 0.125 0.772
Y 0.875 0.647 0.272
B 0.250 0.750 0.500
B 0.500 0.500 0.000

---

# 13
Compound: BaYB
Source: the Alexandria database
Functional: GGA-PBE
Structure: relaxed

Summary:
Symmetry: P-1, No. 2
Relative energy among the computed polymorphs: 0.00 kJ/mol of atoms
Total magnetic moment: 0.0 μB per cell
Formation enthalpy at 0 K: 0.0347 eV per atom
V: 194 Å³/cell

Cell lengths 4.572, 4.741, 9.164 Å; angles 84.65, 84.57, 79.53 degrees
Fractional positions:
Ba 0.229 0.224 0.175
Ba 0.771 0.776 0.825
Y 0.302 0.304 0.600
Y 0.698 0.696 0.400
B 0.134 0.861 0.506
B 0.866 0.139 0.494

---

# 14
Compound: BaY3B
Source: the Alexandria database
Functional: GGA-PBE
Structure: relaxed

Summary:
Symmetry: Pm-3m, No. 221
Relative energy among the computed polymorphs: 0.00 kJ/mol of atoms
Total magnetic moment: 0.0 μB per cell
Formation enthalpy at 0 K: 0.1185 eV per atom
V: 151 Å³/cell

Cell lengths 5.324, 5.324, 5.324 Å; angles 90.00, 90.00, 90.00 degrees
Fractional positions:
Ba 0.000 0.000 0.000
Y 0.000 0.500 0.500
Y 0.500 0.000 0.500
Y 0.500 0.500 0.000
B 0.500 0.500 0.500

---

# 15
Compound: BaY3B
Source: the Alexandria database
Functional: GGA-PBE
Structure: relaxed

Summary:
Symmetry: Pm-3m, No. 221
Relative energy among the computed polymorphs: 184.66 kJ/mol of atoms
Total magnetic moment: 0.0 μB per cell
Formation enthalpy at 0 K: 2.0324 eV per atom
V: 181 Å³/cell

Cell lengths 5.659, 5.659, 5.659 Å; angles 90.00, 90.00, 90.00 degrees
Fractional positions:
Ba 0.000 0.000 0.000
Y 0.000 0.000 0.500
Y 0.000 0.500 0.000
Y 0.500 0.000 0.000
B 0.500 0.500 0.500

---

# 16
Compound: BaYB
Source: the Alexandria database
Functional: GGA-PBE
Structure: relaxed

Summary:
Symmetry: P1, No. 1
Relative energy among the computed polymorphs: 0.50 kJ/mol of atoms
Total magnetic moment: 0.0 μB per cell
Formation enthalpy at 0 K: 0.0399 eV per atom
V: 183 Å³/cell

Cell lengths 3.392, 5.002, 11.619 Å; angles 85.25, 81.61, 70.20 degrees
Fractional positions:
Ba 0.000 0.000 0.000
Ba 0.105 0.502 0.301
Y 0.378 0.507 0.750
Y 0.739 0.988 0.547
B 0.469 0.542 0.532
B 0.999 0.448 0.567

---

# 17
Compound: BaY2B2
Source: the Alexandria database
Functional: GGA-PBE
Structure: relaxed

Summary:
Symmetry: P4/mbm, No. 127
Relative energy among the computed polymorphs: 20.98 kJ/mol of atoms
Total magnetic moment: 0.0 μB per cell
Formation enthalpy at 0 K: 0.5271 eV per atom
V: 209 Å³/cell

Cell lengths 8.059, 8.059, 3.215 Å; angles 90.00, 90.00, 90.00 degrees
Fractional positions:
Ba 0.000 0.000 0.000
Ba 0.500 0.500 0.000
Y 0.133 0.367 0.000
Y 0.367 0.867 0.000
Y 0.633 0.133 0.000
Y 0.867 0.633 0.000
B 0.169 0.669 0.500
B 0.331 0.169 0.500
B 0.669 0.831 0.500
B 0.831 0.331 0.500

---

# 18
Compound: BaYB3
Source: the Alexandria database
Functional: GGA-PBE
Structure: relaxed

Summary:
Symmetry: Pm-3m, No. 221
Relative energy among the computed polymorphs: 0.00 kJ/mol of atoms
Total magnetic moment: 1.4 μB per cell
Formation enthalpy at 0 K: 1.3707 eV per atom
V: 116 Å³/cell

Cell lengths 4.872, 4.872, 4.872 Å; angles 90.00, 90.00, 90.00 degrees
Fractional positions:
Ba 0.000 0.000 0.000
Y 0.500 0.500 0.500
B 0.000 0.500 0.500
B 0.500 0.000 0.500
B 0.500 0.500 0.000

---

# 19
Compound: BaY2B2
Source: the Alexandria database
Functional: GGA-PBE
Structure: relaxed

Summary:
Symmetry: I4/mmm, No. 139
Relative energy among the computed polymorphs: 0.00 kJ/mol of atoms
Total magnetic moment: 0.6 μB per cell
Formation enthalpy at 0 K: 0.3096 eV per atom
V: 131 Å³/cell

Cell lengths 6.754, 6.754, 6.754 Å; angles 139.02, 139.02, 59.34 degrees
Fractional positions:
Ba 0.000 0.000 0.000
Y 0.328 0.328 0.000
Y 0.672 0.672 0.000
B 0.250 0.750 0.500
B 0.750 0.250 0.500

---

# 20
Compound: BaYB
Source: the Alexandria database
Functional: GGA-PBE
Structure: relaxed

Summary:
Symmetry: P1, No. 1
Relative energy among the computed polymorphs: 4.20 kJ/mol of atoms
Total magnetic moment: 0.0 μB per cell
Formation enthalpy at 0 K: 0.0783 eV per atom
V: 170 Å³/cell

Cell lengths 3.358, 6.951, 7.557 Å; angles 81.23, 89.87, 76.74 degrees
Fractional positions:
Ba 0.000 0.000 0.000
Ba 0.092 0.874 0.526
Y 0.325 0.382 0.634
Y 0.768 0.495 0.185
B 0.239 0.561 0.910
B 0.737 0.566 0.839

---

# 21
Compound: Ba2ZnB
Source: the Alexandria database
Functional: GGA-PBE
Structure: relaxed

Summary:
Symmetry: I-42d, No. 122
Relative energy among the computed polymorphs: 17.77 kJ/mol of atoms
Total magnetic moment: 2.1 μB per cell
Formation enthalpy at 0 K: 0.6629 eV per atom
V: 295 Å³/cell

Cell lengths 7.269, 7.269, 7.269 Å; angles 108.41, 108.41, 111.62 degrees
Fractional positions:
Ba 0.070 0.625 0.945
Ba 0.375 0.320 0.445
Ba 0.680 0.125 0.055
Ba 0.875 0.930 0.555
Zn 0.250 0.750 0.500
Zn 0.500 0.500 0.000
B 0.000 0.000 0.000
B 0.750 0.250 0.500

---

# 22
Compound: BaZnB2
Source: the Alexandria database
Functional: GGA-PBE
Structure: relaxed

Summary:
Symmetry: I4_1/amd, No. 141
Total magnetic moment: 0.0 μB per cell
Formation enthalpy at 0 K: 0.6501 eV per atom
V: 151 Å³/cell

Cell lengths 7.951, 7.951, 7.951 Å; angles 146.66, 146.66, 47.86 degrees
Fractional positions:
Ba 0.375 0.625 0.750
Ba 0.625 0.375 0.250
Zn 0.125 0.875 0.250
Zn 0.875 0.125 0.750
B 0.000 0.000 0.000
B 0.000 0.000 0.500
B 0.000 0.500 0.000
B 0.500 0.000 0.500

---

# 23
Compound: BaZnB3
Source: the Alexandria database
Functional: GGA-PBE
Structure: relaxed

Summary:
Symmetry: Pm-3m, No. 221
Relative energy among the computed polymorphs: 0.00 kJ/mol of atoms
Total magnetic moment: 0.0 μB per cell
Formation enthalpy at 0 K: 1.4039 eV per atom
V: 84 Å³/cell

Cell lengths 4.383, 4.383, 4.383 Å; angles 90.00, 90.00, 90.00 degrees
Fractional positions:
Ba 0.000 0.000 0.000
Zn 0.500 0.500 0.500
B 0.000 0.500 0.500
B 0.500 0.000 0.500
B 0.500 0.500 0.000

---

# 24
Compound: BaZnB3
Source: the Alexandria database
Functional: GGA-PBE
Structure: relaxed

Summary:
Symmetry: Pm-3m, No. 221
Relative energy among the computed polymorphs: 143.08 kJ/mol of atoms
Total magnetic moment: 0.0 μB per cell
Formation enthalpy at 0 K: 2.8868 eV per atom
V: 133 Å³/cell

Cell lengths 5.099, 5.099, 5.099 Å; angles 90.00, 90.00, 90.00 degrees
Fractional positions:
Ba 0.000 0.000 0.000
Zn 0.500 0.500 0.500
B 0.000 0.000 0.500
B 0.000 0.500 0.000
B 0.500 0.000 0.000

---

# 25
Compound: Ba2ZnB
Source: the Alexandria database
Functional: GGA-PBE
Structure: relaxed

Summary:
Symmetry: Fm-3m, No. 225
Relative energy among the computed polymorphs: 0.00 kJ/mol of atoms
Total magnetic moment: 0.0 μB per cell
Formation enthalpy at 0 K: 0.4787 eV per atom
V: 119 Å³/cell

Cell lengths 5.514, 5.514, 5.514 Å; angles 60.00, 60.00, 60.00 degrees
Fractional positions:
Ba 0.250 0.250 0.250
Ba 0.750 0.750 0.750
Zn 0.000 0.000 0.000
B 0.500 0.500 0.500

---

# 26
Compound: Ba3ZnB
Source: the Alexandria database
Functional: GGA-PBE
Structure: relaxed

Summary:
Symmetry: Pm-3m, No. 221
Relative energy among the computed polymorphs: 0.00 kJ/mol of atoms
Total magnetic moment: 2.0 μB per cell
Formation enthalpy at 0 K: 0.4354 eV per atom
V: 208 Å³/cell

Cell lengths 5.929, 5.929, 5.929 Å; angles 90.00, 90.00, 90.00 degrees
Fractional positions:
Ba 0.000 0.000 0.500
Ba 0.000 0.500 0.000
Ba 0.500 0.000 0.000
Zn 0.500 0.500 0.500
B 0.000 0.000 0.000

---

# 27
Compound: BaZrB3
Source: the Alexandria database
Functional: GGA-PBE
Structure: relaxed

Summary:
Symmetry: Pm-3m, No. 221
Relative energy among the computed polymorphs: 156.14 kJ/mol of atoms
Total magnetic moment: 0.0 μB per cell
Formation enthalpy at 0 K: 2.5471 eV per atom
V: 96 Å³/cell

Cell lengths 4.576, 4.576, 4.576 Å; angles 90.00, 90.00, 90.00 degrees
Fractional positions:
Ba 0.000 0.000 0.000
Zr 0.500 0.500 0.500
B 0.000 0.000 0.500
B 0.000 0.500 0.000
B 0.500 0.000 0.000